First-principles (PBE) data for a relaxed structure of AuC, as listed in Alexandria via LeMat-Bulk.

Cell lengths 3.1369, 3.1369, 5.5353 Å; angles 90.00, 90.00, 90.00 degrees
Positions (direct):
Au 0.2500 0.2500 0.2332
Au 0.7500 0.7500 0.7668
C 0.2500 0.2500 0.7919
C 0.7500 0.7500 0.2081

Output
ΔE_f = 48.1 kcal/mol of atoms
spin magnetization = 0.0000 μB per atom
Fermi-level density of states = 0.441 states/eV per atom


First-principles (PBE) data for a relaxed structure of Au4C, as listed in Alexandria via LeMat-Bulk.

Cell lengths 7.5306, 7.5306, 7.5306 Å; angles 151.31, 151.31, 41.03 degrees
Positions (direct):
Au 0.0930 0.0930 0.0000
Au 0.2500 0.7500 0.5000
Au 0.7500 0.2500 0.5000
Au 0.9070 0.9070 0.0000
C 0.5000 0.5000 0.0000

Output
ΔE_f = 33.7 kcal/mol of atoms
spin magnetization = 0.1645 μB per atom
Fermi-level density of states = 0.725 states/eV per atom